Ca2CoO | SCAN | single point on PBEsol structure Values from VASP.

* density: 3.10 g cm⁻³
* crystal system: tetragonal
* E_form (uncorrected): -915 meV/atom
* calculated total energy: -46.52 eV/f.u.
* SG: No. 122

```
&SYSTEM
  ibrav = 0, nat = 8, ntyp = 3
/
ATOMIC_SPECIES
Ca 40.08 Ca.upf
Co 58.93 Co.upf
O 16.00 O.upf
CELL_PARAMETERS angstrom
6.044 0.128 0.189
-2.653 5.432 -0.189
-2.653 -2.196 4.972
ATOMIC_POSITIONS angstrom
Ca -3.041 3.762 2.118
Ca 2.453 0.411 4.050
Ca -0.569 1.635 3.084
Ca 2.634 0.919 0.692
Co 0.000 0.000 0.000
Co 0.369 3.589 1.196
O -2.653 1.618 2.392
O 0.369 -0.225 3.776
```

---

KBa2La | SCAN | single point on PBEsol structure Values from VASP.

* density: 3.76 g cm⁻³
* crystal system: tetragonal
* calculated total energy: -129.52 eV/f.u.
* E_form: 1.01 eV per formula unit
* SG: No. 123

```
&SYSTEM
  ibrav = 0, nat = 4, ntyp = 3
/
ATOMIC_SPECIES
Ba 137.33 Ba.upf
K 39.10 K.upf
La 138.91 La.upf
CELL_PARAMETERS angstrom
4.220 0.000 0.000
0.000 6.886 0.000
0.000 0.000 6.886
ATOMIC_POSITIONS angstrom
Ba 0.000 0.000 3.443
Ba 0.000 3.443 0.000
K 2.110 3.443 3.443
La 2.110 0.000 0.000
```

---

Zr2MnIrCl | SCAN | single point on PBEsol structure Values from VASP.

* density: 8.81 g cm⁻³
* crystal system: tetragonal
* E_form (uncorrected): -20 meV/atom
* calculated total energy: -158.83 eV/f.u.
* SG: No. 123

```
&SYSTEM
  ibrav = 0, nat = 5, ntyp = 4
/
ATOMIC_SPECIES
Mn 54.94 Mn.upf
Ir 192.22 Ir.upf
Zr 91.22 Zr.upf
Cl 35.45 Cl.upf
CELL_PARAMETERS angstrom
4.020 0.000 0.000
0.000 4.670 0.000
0.000 0.000 4.670
ATOMIC_POSITIONS angstrom
Mn 2.010 0.000 0.000
Ir 2.010 2.335 2.335
Zr 0.000 0.000 2.335
Zr 0.000 2.335 0.000
Cl 0.000 0.000 0.000
```

---

InAsF2 | SCAN | single point on PBEsol structure Values from VASP.

* density: 6.28 g cm⁻³
* crystal system: cubic
* E_form (uncorrected): -744 meV/atom
* calculated total energy: -63.63 eV/f.u.
* SG: No. 225

```
&SYSTEM
  ibrav = 0, nat = 4, ntyp = 3
/
ATOMIC_SPECIES
As 74.92 As.upf
F 19.00 F.upf
In 114.82 In.upf
CELL_PARAMETERS angstrom
-2.381 -1.484 -3.388
-0.331 -4.325 -0.729
-3.813 -2.068 0.730
ATOMIC_POSITIONS angstrom
As 0.000 0.000 0.000
F -1.631 -1.969 -0.846
F -4.894 -5.908 -2.539
In -3.262 -3.939 -1.693
```

---

CdPRh3 | SCAN | single point on PBEsol structure Values from VASP.

* density: 9.32 g cm⁻³
* crystal system: cubic
* calculated total energy: -143.38 eV/f.u.
* E_form: -1.25 eV per formula unit
* SG: No. 221

```
&SYSTEM
  ibrav = 0, nat = 5, ntyp = 3
/
ATOMIC_SPECIES
P 30.97 P.upf
Rh 102.91 Rh.upf
Cd 112.41 Cd.upf
CELL_PARAMETERS angstrom
-2.126 -0.839 -3.666
2.401 -3.543 -0.582
-2.894 -2.324 2.210
ATOMIC_POSITIONS angstrom
P 0.000 0.000 0.000
Rh 1.200 -1.772 -0.291
Rh -1.447 -1.162 1.105
Rh -1.063 -0.419 -1.833
Cd -1.309 -3.353 -1.019
```

---

K2OsNCl5 | SCAN | single point on PBEsol structure Values from VASP.

* density: 3.51 g cm⁻³
* crystal system: orthorhombic
* E_form (uncorrected): -1161 meV/atom
* calculated total energy: -148.17 eV/f.u.
* SG: No. 62

```
&SYSTEM
  ibrav = 0, nat = 36, ntyp = 4
/
ATOMIC_SPECIES
K 39.10 K.upf
Os 190.23 Os.upf
N 14.01 N.upf
Cl 35.45 Cl.upf
CELL_PARAMETERS angstrom
-3.286 -4.902 -3.337
8.158 -2.023 -5.061
3.555 -8.636 9.183
ATOMIC_POSITIONS angstrom
K 4.781 -4.878 0.164
K 6.482 -6.554 -5.934
K 6.010 -10.014 4.198
K 7.711 -11.690 -1.900
K 3.646 -10.683 0.621
K 1.946 -9.007 6.720
K 2.417 -5.546 -3.413
K 0.717 -3.870 2.686
Os 5.399 -8.322 -2.235
Os 3.029 -7.238 3.021
Os 1.817 -2.076 -0.996
Os 6.611 -13.484 1.782
N 2.886 -6.455 -7.032
N 5.541 -9.105 7.817
N 6.259 -8.394 -0.820
N 2.169 -7.166 1.605
Cl 4.361 -4.163 -5.570
Cl 1.605 -4.602 -0.329
Cl 4.368 -7.450 5.264
Cl 5.112 -7.734 2.036
Cl -0.218 -6.933 -2.334
Cl 4.066 -11.398 6.356
Cl 2.707 -9.540 3.422
Cl 4.737 -10.572 -2.403
Cl 6.823 -10.959 1.114
Cl -0.157 -1.847 0.272
Cl 3.691 -4.988 3.188
Cl 4.060 -8.111 -4.478
Cl 3.739 -2.813 -2.145
Cl 4.689 -12.748 2.930
Cl 8.645 -8.627 3.120
Cl 3.316 -7.826 -1.250
Cl 5.721 -6.020 -2.637
Cl 8.584 -13.714 0.514
Cl 1.216 -6.768 4.452
Cl 7.211 -8.792 -3.667
```

---

InAuI2N | SCAN | single point on PBEsol structure Values from VASP.

* density: 7.02 g cm⁻³
* crystal system: tetragonal
* E_form (uncorrected): 834 meV/atom
* calculated total energy: -181.15 eV/f.u.
* SG: No. 123

```
&SYSTEM
  ibrav = 0, nat = 5, ntyp = 4
/
ATOMIC_SPECIES
I 126.90 I.upf
N 14.01 N.upf
Au 196.97 Au.upf
In 114.82 In.upf
CELL_PARAMETERS angstrom
4.002 0.000 0.000
0.000 5.853 0.000
0.000 0.000 5.853
ATOMIC_POSITIONS angstrom
I 0.000 0.000 2.926
I 0.000 2.926 0.000
N 2.001 0.000 0.000
Au 2.001 2.926 2.926
In 0.000 0.000 0.000
```

---

NaTiRh3 | SCAN | single point on PBEsol structure Values from VASP.

* density: 7.73 g cm⁻³
* crystal system: cubic
* calculated total energy: -114.95 eV/f.u.
* E_form: 6.61 eV per formula unit
* SG: No. 221

```
&SYSTEM
  ibrav = 0, nat = 5, ntyp = 3
/
ATOMIC_SPECIES
Na 22.99 Na.upf
Rh 102.91 Rh.upf
Ti 47.87 Ti.upf
CELL_PARAMETERS angstrom
4.337 0.000 0.000
0.000 4.337 0.000
0.000 0.000 4.337
ATOMIC_POSITIONS angstrom
Na 0.000 0.000 0.000
Rh 0.000 2.168 0.000
Rh 0.000 0.000 2.168
Rh 2.168 0.000 0.000
Ti 2.168 2.168 2.168
```

---

Which value of calculated total energy does entry 6 give? -148.17 eV/f.u.